(1)
Density functional theory data (GGA-PBE) for MnBiPd2 after structural relaxation.

It has space group P4/mmm (No. 123), with a = 3.3042 Å, b = 3.3042 Å, c = 6.7269 Å, α = 90.00°, β = 90.00° and γ = 90.00°. Symmetry generates all atoms from Mn at (0.0000, 0.0000, 0.0000), Bi at (0.0000, 0.0000, 0.5000) and Pd at (0.5000, 0.5000, 0.2117).

The value obtained for the uncorrected energy is -24.196 eV per formula unit. Its density is 10.78 g/cm3. The value obtained for the total magnetization is 1.0962 μB/atom. The calculation puts the calculated formation energy at -0.760 eV per formula unit. The volume comes out at 73 Å³ per cell.

(2)
Density functional theory data (GGA-PBE) for PrY2Tm7 after structural relaxation.

It has space group C2/m (No. 12), with a = 8.8157 Å, b = 16.5574 Å, c = 5.3949 Å, α = 90.00°, β = 127.68° and γ = 90.00°. Symmetry generates all atoms from Pr at (0.0000, 0.0000, 0.0000), Y at (0.0000, 0.2999, 0.5000), Tm at (0.0000, 0.2003, 0.0000), Tm at (0.0000, 0.5000, 0.5000) and Tm at (0.2479, 0.3903, 0.2480).

The value obtained for the uncorrected energy is -48.495 eV per formula unit. Its density is 8.00 g/cm3. The value obtained for the total magnetization is 0.0000 μB/atom. The calculation puts the calculated formation energy at 0.513 eV per formula unit. The volume comes out at 623 Å³ per cell.

> Among the records above, which one has the lowest calculated formation energy?

MnBiPd2